Entry 1:
Computed, not measured: BeZnAs3 after structural relaxation at the PBE level of DFT.

Cell lengths 4.525, 4.525, 4.525 Å; angles 90.00, 90.00, 90.00 degrees
Fractional coordinates of all 5 atoms:
Be  0.000  0.000  0.000
Zn  0.500  0.500  0.500
As  0.000  0.000  0.500
As  0.000  0.500  0.000
As  0.500  0.000  0.000

Calculated values
SG	No. 221



Entry 2:
Computed, not measured: Y2TlBi after structural relaxation at the PBE level of DFT.

Cell lengths 6.895, 6.895, 6.895 Å; angles 105.29, 105.29, 118.21 degrees
Fractional coordinates of all 8 atoms:
Y  0.125  0.625  0.000
Y  0.375  0.375  0.500
Y  0.625  0.125  0.000
Y  0.875  0.875  0.500
Tl  0.000  0.000  0.000
Tl  0.750  0.250  0.500
Bi  0.250  0.750  0.500
Bi  0.500  0.500  0.000

Calculated values
SG	No. 122



Entry 3:
Computed, not measured: NdTmSc after structural relaxation at the PBE level of DFT.

Cell lengths 6.018, 3.494, 8.458 Å; angles 90.00, 90.33, 90.00 degrees
Fractional coordinates of all 6 atoms:
Nd  0.247  0.250  0.492
Nd  0.753  0.750  0.508
Tm  0.414  0.750  0.837
Tm  0.586  0.250  0.163
Sc  0.082  0.750  0.154
Sc  0.918  0.250  0.846

Calculated values
SG	No. 11



Entry 4:
Computed, not measured: RbNaMn2 after structural relaxation at the PBE level of DFT.

Cell lengths 5.671, 5.671, 5.671 Å; angles 60.00, 60.00, 60.00 degrees
Fractional coordinates of all 4 atoms:
Rb  0.000  0.000  0.000
Na  0.500  0.500  0.500
Mn  0.250  0.250  0.250
Mn  0.750  0.750  0.750

Calculated values
SG	No. 225



| no. | energy above the most stable polymorph in this dataset (meV/atom) |
| --- | --- |
| 1 | 0 |
| 2 | 268 |
| 3 | 0 |
| 4 | 0 |